Entry 1:
This record from the Alexandria database describes an optimized crystal structure of Th2SbAs. The functional is PBE.

Unit cell a=4.2750 b=4.2750 c=22.6961 alpha=90.00 beta=90.00 gamma=120.00
Space group R3m (No. 160, hexagonal axes)
Unique sites:
Th: 0.0000 0.0000 0.0000 x3
Th: 0.0000 0.0000 0.1857 x3
Sb: 0.0000 0.0000 0.7599 x3
As: 0.0000 0.0000 0.5910 x3

Calculated values
As for the density of states at the Fermi level: 2.28 states/eV/cell. The crystal system is trigonal. The calculation puts the formation energy without anion corrections at -1110.0 meV/atom.

---

Entry 2:
This record from the Alexandria database describes an optimized crystal structure of Th2SbAs. The functional is PBE.

Unit cell a=4.3597 b=4.3597 c=21.6605 alpha=90.00 beta=90.00 gamma=120.00
Space group R-3m (No. 166, hexagonal axes)
Unique sites:
Th: 0.0000 0.0000 0.2417 x6
Sb: 0.0000 0.0000 0.0000 x3
As: 0.0000 0.0000 0.5000 x3

Calculated values
As for the density of states at the Fermi level: 5.96 states/eV/cell. The crystal system is trigonal. The calculation puts the formation energy without anion corrections at -1154.3 meV/atom.

---

Entry 3:
This record from the Alexandria database describes an optimized crystal structure of Th4SbAs3. The functional is PBE.

Unit cell a=4.2986 b=6.1113 c=8.6818 alpha=90.00 beta=90.00 gamma=90.00
Space group Pmmm (No. 47)
Unique sites:
Th: 0.0000 0.0000 0.0000 x1
Th: 0.0000 0.0000 0.5000 x1
Th: 0.5000 0.5000 0.2339 x2
Sb: 0.0000 0.5000 0.5000 x1
As: 0.0000 0.5000 0.0000 x1
As: 0.5000 0.0000 0.2494 x2

Calculated values
As for the density of states at the Fermi level: 6.01 states/eV/cell. The crystal system is orthorhombic. The calculation puts the formation energy without anion corrections at -1243.2 meV/atom.

---

Entry 4:
This record from the Alexandria database describes an optimized crystal structure of ThSbAs. The functional is PBE.

Unit cell a=4.2635 b=4.2635 c=17.8974 alpha=90.00 beta=90.00 gamma=90.00
Space group I4/mmm (No. 139)
Unique sites:
Th: 0.0000 0.0000 0.1239 x4
Sb: 0.0000 0.0000 0.3115 x4
As: 0.0000 0.5000 0.0000 x4

Calculated values
The calculation puts the energy above the lowest structure with this stoichiometry at 136 meV per atom. As for the density of states at the Fermi level: 6.74 states/eV/cell. The crystal system is tetragonal. The calculation puts the formation energy without anion corrections at -824.5 meV/atom.

---

Entry 5:
This record from the Alexandria database describes an optimized crystal structure of Th2SbAs3. The functional is PBE.

Unit cell a=4.1904 b=4.1904 c=8.6978 alpha=90.00 beta=90.00 gamma=90.00
Space group P-4m2 (No. 115)
Unique sites:
Th: 0.0000 0.5000 0.2063 x2
Sb: 0.0000 0.0000 0.5000 x1
As: 0.0000 0.5000 0.8584 x2
As: 0.5000 0.5000 0.5000 x1

Calculated values
As for the density of states at the Fermi level: 3.00 states/eV/cell. The crystal system is tetragonal. The calculation puts the formation energy without anion corrections at -1031.3 meV/atom.

---

Entry 6:
This record from the Alexandria database describes an optimized crystal structure of Th5Sb4As. The functional is PBE.

Unit cell a=4.4556 b=4.4556 c=31.5592 alpha=90.00 beta=90.00 gamma=90.00
Space group I4/mmm (No. 139)
Unique sites:
Th: 0.0000 0.0000 0.0000 x2
Th: 0.0000 0.0000 0.2024 x4
Th: 0.0000 0.0000 0.4061 x4
Sb: 0.0000 0.0000 0.1010 x4
Sb: 0.0000 0.0000 0.3037 x4
As: 0.0000 0.0000 0.5000 x2

Calculated values
As for the density of states at the Fermi level: 14.33 states/eV/cell. The crystal system is tetragonal. The calculation puts the formation energy without anion corrections at -978.6 meV/atom.